Record 1
La6Nd4Ho: optimized geometry, PBE.

Cell lengths 9.5774, 9.5774, 9.5774 Å; angles 136.96, 136.96, 62.50 degrees
Last column: nearest neighbours and their distance in Å.
Positions (direct):
La 0.0000 0.5000 0.5000  4 Nd 3.14, 2 Ho 3.51
La 0.0061 0.6298 0.0000  3 Nd 3.46-3.74, 1 Ho 3.52, 1 La 3.74
La 0.3702 0.3702 0.3764  3 Nd 3.46-3.74, 1 Ho 3.52, 1 La 3.74
La 0.5000 0.0000 0.5000  4 Nd 3.14, 2 Ho 3.51
La 0.6298 0.0061 0.0000  3 Nd 3.46-3.74, 1 Ho 3.52, 1 La 3.74
La 0.9939 0.9939 0.6236  3 Nd 3.46-3.74, 1 Ho 3.52, 1 La 3.74
Nd 0.2235 0.2235 0.6608  3 La 3.14-3.46, 1 Nd 3.37
Nd 0.4373 0.7765 0.0000  3 La 3.14-3.46, 1 Nd 3.37
Nd 0.5627 0.5627 0.3392  3 La 3.14-3.46, 1 Nd 3.37
Nd 0.7765 0.4373 0.0000  3 La 3.14-3.46, 1 Nd 3.37
Ho 0.0000 0.0000 0.0000  8 La 3.51-3.52, 4 Nd 3.72

Values from the calculation:
The calculation puts the formation enthalpy at 0 K at 24 kJ/mol of atoms. The calculation puts the offset from the most stable computed form at 1.743 eV per formula unit. The value obtained for the calculated total energy is -4.585 eV per atom. The magnetic moment is 0.00 Bohr magnetons per cell.

=====

Record 2
La4NdHo6: optimized geometry, PBE.

Cell lengths 9.7194, 9.7194, 9.7194 Å; angles 139.03, 139.03, 59.33 degrees
Last column: nearest neighbours and their distance in Å.
Positions (direct):
La 0.1325 0.1325 0.6183  7 Ho 3.48-3.87, 1 Nd 3.50, 1 La 3.67
La 0.4858 0.8675 0.0000  7 Ho 3.48-3.87, 1 Nd 3.50, 1 La 3.67
La 0.5142 0.5142 0.3817  7 Ho 3.48-3.87, 1 Nd 3.50, 1 La 3.67
La 0.8675 0.4858 0.0000  7 Ho 3.48-3.87, 1 Nd 3.50, 1 La 3.67
Nd 0.5000 0.5000 0.0000  8 Ho 3.40-3.71, 4 La 3.50
Ho 0.0000 0.5000 0.5000  4 Ho 3.20, 2 Nd 3.40
Ho 0.0567 0.7079 0.0000  3 Ho 3.20-3.36, 3 La 3.48-3.56
Ho 0.2921 0.2921 0.3488  3 Ho 3.20-3.36, 3 La 3.48-3.56
Ho 0.5000 0.0000 0.5000  4 Ho 3.20, 2 Nd 3.40
Ho 0.7079 0.0567 0.0000  3 Ho 3.20-3.36, 3 La 3.48-3.56
Ho 0.9433 0.9433 0.6512  3 Ho 3.20-3.36, 3 La 3.48-3.56

Values from the calculation:
The calculation puts the formation enthalpy at 0 K at 29 kJ/mol of atoms. The value obtained for the calculated total energy is -4.423 eV per atom. The magnetic moment is 0.00 Bohr magnetons per cell.

=====

Record 3
La7Nd3Ho: optimized geometry, PBE.

Cell lengths 8.7096, 8.7096, 6.0873 Å; angles 110.33, 110.33, 83.08 degrees
Last column: nearest neighbours and their distance in Å.
Positions (direct):
La 0.0000 0.0000 0.0000  2 Ho 3.04, 2 Nd 3.37
La 0.0957 0.5121 0.3036  2 Nd 3.30-3.64, 3 La 3.43-3.54
La 0.2887 0.2887 0.7888  1 Ho 3.33, 2 Nd 3.42, 2 La 3.54
La 0.4879 0.9043 0.6964  2 Nd 3.30-3.64, 3 La 3.43-3.54
La 0.5121 0.0957 0.3036  2 Nd 3.30-3.64, 3 La 3.43-3.54
La 0.7113 0.7113 0.2112  1 Ho 3.33, 2 Nd 3.42, 2 La 3.54
La 0.9043 0.4879 0.6964  2 Nd 3.30-3.64, 3 La 3.43-3.54
Nd 0.2920 0.7080 0.0000  5 La 3.37-3.64
Nd 0.5000 0.5000 0.5000  4 La 3.30
Nd 0.7080 0.2920 0.0000  5 La 3.37-3.64
Ho 0.0000 0.0000 0.5000  4 La 3.04-3.33

Values from the calculation:
The calculation puts the formation enthalpy at 0 K at 20 kJ/mol of atoms. The calculation puts the offset from the most stable computed form at 0.000 eV per formula unit. The value obtained for the calculated total energy is -4.646 eV per atom. The magnetic moment is 0.00 Bohr magnetons per cell.

=====

Record 4
La7NdHo12: optimized geometry, PBE.

Cell lengths 9.8330, 9.8330, 9.8330 Å; angles 109.47, 109.47, 109.47 degrees
Last column: nearest neighbours and their distance in Å.
Positions (direct):
La 0.0000 0.0000 0.5000  6 Ho 2.84
La 0.0000 0.5000 0.0000  6 Ho 2.84
La 0.0000 0.5000 0.5000  12 Ho 4.01-4.04
La 0.5000 0.0000 0.0000  6 Ho 2.84
La 0.5000 0.0000 0.5000  12 Ho 4.01-4.04
La 0.5000 0.5000 0.0000  12 Ho 4.01-4.04
La 0.5000 0.5000 0.5000  6 Ho 2.84
Nd 0.0000 0.0000 0.0000  12 Ho 3.98
Ho 0.0000 0.2481 0.7519  2 La 2.84
Ho 0.0000 0.7519 0.2481  2 La 2.84
Ho 0.2481 0.0000 0.7519  2 La 2.84
Ho 0.2481 0.2481 0.4962  2 La 2.84
Ho 0.2481 0.4962 0.2481  2 La 2.84
Ho 0.2481 0.7519 0.0000  2 La 2.84
Ho 0.4962 0.2481 0.2481  2 La 2.84
Ho 0.5038 0.7519 0.7519  2 La 2.84
Ho 0.7519 0.0000 0.2481  2 La 2.84
Ho 0.7519 0.2481 0.0000  2 La 2.84
Ho 0.7519 0.5038 0.7519  2 La 2.84
Ho 0.7519 0.7519 0.5038  2 La 2.84

Values from the calculation:
The calculation puts the formation enthalpy at 0 K at 59 kJ/mol of atoms. The value obtained for the calculated total energy is -4.098 eV per atom. The magnetic moment is 0.00 Bohr magnetons per cell.